Record 1
Below is Cd2OsW after structural relaxation, with properties calculated at the PBE level.

Calculated values
Crystal system: trigonal
Density (g/cm3): 14.3
Calculated volume (Å³ per atom): 17.3
Energy of formation (eV/atom): 0.7074
Electronic total energy (eV/atom): -5.80

a = 2.8739 Å, b = 2.8739 Å, c = 29.0748 Å
α = 90.00°, β = 90.00°, γ = 120.00°
With the nearest neighbours (Å) after each atom.
Space group R-3m (No. 166, hexagonal axes)
Inequivalent atoms, fractional coordinates:
1 Cd 0.0000 0.0000 0.2480  6 Cd 2.87, 3 Os 2.89, 3 W 2.98
2 Os 0.0000 0.0000 0.5000  6 Os 2.87, 6 Cd 2.89
3 W 0.0000 0.0000 0.0000  6 W 2.87, 6 Cd 2.98


Record 2
Below is CdOsW after structural relaxation, with properties calculated at the PBE level.

Calculated values
Crystal system: orthorhombic
Density (g/cm3): 15.9
Calculated volume (Å³ per atom): 16.9
Energy of formation (eV/atom): 0.4978
Electronic total energy (eV/atom): -7.87

a = 2.9282 Å, b = 3.7430 Å, c = 9.2428 Å
α = 90.00°, β = 90.00°, γ = 90.00°
With the nearest neighbours (Å) after each atom.
Space group Imm2 (No. 44)
Inequivalent atoms, fractional coordinates:
1 Cd 0.0000 0.0000 0.0000  5 W 2.90-2.94, 5 Os 2.92-2.93, 2 Cd 2.93
2 Os 0.0000 0.0000 0.6830  4 W 2.66, 5 Cd 2.92-2.93, 2 Os 2.93
3 W 0.0000 0.0000 0.3133  4 Os 2.66, 5 Cd 2.90-2.94, 2 W 2.93


Record 3
Below is CdOs2W after structural relaxation, with properties calculated at the PBE level.

Calculated values
Crystal system: cubic
Density (g/cm3): 17.5
Calculated volume (Å³ per atom): 16.0
Energy of formation (eV/atom): 0.8445
Electronic total energy (eV/atom): -8.24

a = 6.3544 Å, b = 6.3544 Å, c = 6.3544 Å
α = 90.00°, β = 90.00°, γ = 90.00°
With the nearest neighbours (Å) after each atom.
Space group F-43m (No. 216)
Inequivalent atoms, fractional coordinates:
1 Cd 0.0000 0.0000 0.0000  4 Os 2.75, 4 W 2.75
2 Os 0.0000 0.0000 0.5000  4 W 2.75, 4 Os 2.75
3 Os 0.2500 0.2500 0.7500  4 Cd 2.75, 4 Os 2.75
4 W 0.2500 0.2500 0.2500  4 Cd 2.75, 4 Os 2.75


Record 4
Below is CdOsW2 after structural relaxation, with properties calculated at the PBE level.

Calculated values
Crystal system: orthorhombic
Density (g/cm3): 16.6
Calculated volume (Å³ per atom): 16.7
Energy of formation (eV/atom): 0.4102
Electronic total energy (eV/atom): -9.10

a = 3.1350 Å, b = 4.5643 Å, c = 9.3578 Å
α = 90.00°, β = 90.00°, γ = 90.00°
With the nearest neighbours (Å) after each atom.
Space group Cmm2 (No. 35)
Inequivalent atoms, fractional coordinates:
1 Cd 0.0000 0.0000 0.0000  4 Cd 2.77, 2 Os 2.94, 2 W 2.97
2 Os 0.0000 0.5000 0.7343  2 W 2.64, 4 Os 2.77, 2 Cd 2.94
3 W 0.0000 0.0000 0.5070  2 Os 2.64, 6 W 2.72-2.77
4 W 0.0000 0.5000 0.2698  6 W 2.72-2.77, 2 Cd 2.97


Which of these has the lowest calculated volume? CdOs2W